Record 1
{
  "formula": "Al2Ga2Ni5Ge",
  "functional": "PBE",
  "state": "optimized geometry",
  "spacegroup": "P4/mbm, No. 127",
  "vol_a3_per_atom": 13.39,
  "formation_energy_kj_per_mol_fu": -280.1,
  "magnetic_moment_mub_per_fu": 0.000,
  "lattice": [[9.739, 0.000, 0.000], [0.000, 9.739, 0.000], [0.000, 0.000, 2.823]],
  "species": ["Al", "Al", "Al", "Al", "Ga", "Ga", "Ga", "Ga", "Ni", "Ni", "Ni", "Ni", "Ni", "Ni", "Ni", "Ni", "Ni", "Ni", "Ge", "Ge"],
  "frac_coords": [[0.148, 0.352, 0.000], [0.352, 0.852, 0.000], [0.648, 0.148, 0.000], [0.852, 0.648, 0.000], [0.145, 0.645, 0.000], [0.355, 0.145, 0.000], [0.645, 0.855, 0.000], [0.855, 0.355, 0.000], [0.000, 0.500, 0.500], [0.144, 0.851, 0.500], [0.149, 0.144, 0.500], [0.351, 0.644, 0.500], [0.356, 0.351, 0.500], [0.500, 0.000, 0.500], [0.644, 0.649, 0.500], [0.649, 0.356, 0.500], [0.851, 0.856, 0.500], [0.856, 0.149, 0.500], [0.000, 0.000, 0.000], [0.500, 0.500, 0.000]]
}



Record 2
{
  "formula": "ZnH4Pd5",
  "functional": "PBE",
  "state": "optimized geometry",
  "total_energy_ev_per_fu": -42.3,
  "spacegroup": "P-1, No. 2",
  "vol_a3_per_atom": 10.55,
  "magnetic_moment_mub_per_fu": 0.000,
  "lattice": [[2.973, 0.000, 0.000], [-1.461, 5.186, 0.000], [-1.481, -1.936, 6.841]],
  "species": ["Zn", "H", "H", "H", "H", "Pd", "Pd", "Pd", "Pd", "Pd"],
  "frac_coords": [[0.000, 0.000, 0.000], [0.153, 0.690, 0.619], [0.376, 0.633, 0.126], [0.624, 0.367, 0.874], [0.847, 0.310, 0.381], [0.218, 0.581, 0.853], [0.371, 0.051, 0.690], [0.500, 0.500, 0.500], [0.629, 0.949, 0.310], [0.782, 0.419, 0.147]]
}



Record 3
{
  "formula": "LiGaAsO4",
  "functional": "PBE",
  "state": "optimized geometry",
  "spacegroup": "Imma, No. 74",
  "formation_energy_uncorrected_ev_per_atom": -1.52,
  "vol_a3_per_atom": 10.70,
  "magnetic_moment_mub_per_fu": 0.000,
  "lattice": [[-2.982, 3.113, 4.034], [2.982, -3.113, 4.034], [2.982, 3.113, -4.034]],
  "species": ["Li", "Li", "Ga", "Ga", "As", "As", "O", "O", "O", "O", "O", "O", "O", "O"],
  "frac_coords": [[0.000, 0.000, 0.000], [0.500, 0.000, 0.500], [0.500, 0.000, 0.000], [0.500, 0.500, 0.500], [0.116, 0.366, 0.750], [0.884, 0.634, 0.250], [0.243, 0.252, 0.508], [0.243, 0.735, 0.992], [0.286, 0.248, 0.039], [0.291, 0.752, 0.539], [0.709, 0.248, 0.461], [0.714, 0.752, 0.961], [0.757, 0.265, 0.008], [0.757, 0.748, 0.492]]
}



Record 4
{
  "formula": "TbDyHoTm2",
  "functional": "PBE",
  "state": "optimized geometry",
  "spacegroup": "Cmcm, No. 63",
  "vol_a3_per_atom": 33.35,
  "formation_energy_kj_per_mol_fu": 192.7,
  "magnetic_moment_mub_per_fu": 0.000,
  "lattice": [[4.136, -5.651, 0.000], [4.136, 5.651, 0.000], [0.000, 0.000, 7.134]],
  "species": ["Tb", "Tb", "Dy", "Dy", "Ho", "Ho", "Tm", "Tm", "Tm", "Tm"],
  "frac_coords": [[0.224, 0.776, 0.750], [0.776, 0.224, 0.250], [0.223, 0.777, 0.250], [0.777, 0.223, 0.750], [0.500, 0.500, 0.250], [0.500, 0.500, 0.750], [0.190, 0.190, 0.000], [0.190, 0.190, 0.500], [0.810, 0.810, 0.000], [0.810, 0.810, 0.500]]
}



Record 5
{
  "formula": "TaHg2Os",
  "functional": "PBE",
  "state": "optimized geometry",
  "spacegroup": "I4/mmm, No. 139",
  "relative_energy_ev_per_atom": 0.409,
  "vol_a3_per_atom": 18.24,
  "formation_energy_kj_per_mol_fu": 250.2,
  "magnetic_moment_mub_per_fu": 0.388,
  "lattice": [[4.021, 0.000, 0.000], [0.000, 4.021, 0.000], [0.000, 0.000, 9.024]],
  "species": ["Ta", "Ta", "Hg", "Hg", "Hg", "Hg", "Os", "Os"],
  "frac_coords": [[0.000, 0.000, 0.000], [0.500, 0.500, 0.500], [0.000, 0.500, 0.250], [0.000, 0.500, 0.750], [0.500, 0.000, 0.250], [0.500, 0.000, 0.750], [0.000, 0.000, 0.500], [0.500, 0.500, 0.000]]
}



Record 6
{
  "formula": "Ac2EuSn",
  "functional": "PBE",
  "state": "optimized geometry",
  "spacegroup": "P4/mmm, No. 123",
  "relative_energy_ev_per_atom": 0.000,
  "vol_a3_per_atom": 36.17,
  "formation_energy_kj_per_mol_fu": -135.7,
  "magnetic_moment_mub_per_fu": 7.787,
  "lattice": [[5.347, 0.000, 0.000], [0.000, 5.347, 0.000], [0.000, 0.000, 5.061]],
  "species": ["Ac", "Ac", "Eu", "Sn"],
  "frac_coords": [[0.000, 0.500, 0.000], [0.500, 0.000, 0.000], [0.000, 0.000, 0.500], [0.500, 0.500, 0.500]]
}